The following is a DFT calculation (PBE) of crystalline Pm4Ho3In at its relaxed geometry.

The structure in extended XYZ format:
```
16
Lattice="7.017 0.000 0.000 0.000 7.086 0.000 0.000 0.000 10.061" Properties=species:S:1:pos:R:3 pbc="T T T"
Ho 5.213 3.972 7.545
Ho 1.803 0.429 2.515
Pm 3.506 5.742 5.030
Pm 5.269 0.430 2.519
Pm 1.747 3.973 2.511
In 3.511 2.200 5.030
Pm 3.510 2.199 0.000
In 3.506 5.743 0.000
Ho 0.002 5.743 5.030
Ho 5.213 3.972 2.515
Pm 5.269 0.430 7.542
Pm 1.747 3.973 7.550
Ho 7.015 2.200 0.000
Pm 7.011 5.746 0.000
Pm 0.006 2.203 5.030
Ho 1.803 0.429 7.546
```

E, eV per cell: -72.21
Total magnetization, μB/cell: 0.00
Energy of formation, kcal/mol of atoms: -1.8
ρ, Mg/m³: 7.90
Space group: Pmn2_1 (31)